# 1
Material: NaCuBPd2
Method: DFT, PBE
State: optimized geometry

Geometry as POSCAR:
```
NaCuBPd2
1.0
4.199 0.000 0.000
0.000 4.199 0.000
0.000 0.000 4.161
Na Cu B Pd
1 1 1 2
direct
0.000 0.000 0.000
0.500 0.500 0.000
0.500 0.500 0.500
0.000 0.500 0.500
0.500 0.000 0.500
```

Computed properties:
ΔE_f, eV/atom: -0.0977
Space-group type: No. 123



# 2
Material: NaCuBPt2
Method: DFT, PBE
State: optimized geometry

Geometry as POSCAR:
```
NaCuBPt2
1.0
4.159 0.000 0.000
0.000 4.159 0.000
0.000 0.000 4.256
Na Cu B Pt
1 1 1 2
direct
0.000 0.000 0.000
0.500 0.500 0.000
0.500 0.500 0.500
0.000 0.500 0.500
0.500 0.000 0.500
```

Computed properties:
ΔE_f, eV/atom: -0.1953
Space-group type: No. 123



# 3
Material: Na2CuBS4
Method: DFT, PBE
State: optimized geometry

Geometry as POSCAR:
```
Na2CuBS4
1.0
-3.483 3.483 3.062
3.483 -3.483 3.062
3.483 3.483 -3.062
Na Cu B S
2 1 1 4
direct
0.000 0.500 0.500
0.500 0.000 0.500
0.000 0.000 0.000
0.500 0.500 0.000
0.144 0.144 0.707
0.437 0.437 0.293
0.563 0.856 0.000
0.856 0.563 0.000
```

Computed properties:
Space-group type: No. 121
Formation energy (no corrections), eV/f.u.: -4.05



# 4
Material: NaCu2BS4
Method: DFT, PBE
State: optimized geometry

Geometry as POSCAR:
```
NaCu2BS4
1.0
-2.931 2.931 3.928
2.931 -2.931 3.928
2.931 2.931 -3.928
Na Cu B S
1 2 1 4
direct
0.000 0.000 0.000
0.250 0.750 0.500
0.750 0.250 0.500
0.500 0.500 0.000
0.173 0.173 0.615
0.442 0.827 0.000
0.558 0.558 0.385
0.827 0.442 0.000
```

Computed properties:
Space-group type: No. 121
Formation energy (no corrections), eV/f.u.: -3.50



# 5
Material: Na2ScCuB
Method: DFT, PBE
State: optimized geometry

Geometry as POSCAR:
```
Na2ScCuB
1.0
5.990 0.000 0.000
0.000 5.990 0.000
0.000 0.000 4.657
Na Sc Cu B
2 1 1 1
direct
0.000 0.500 0.000
0.500 0.000 0.000
0.000 0.000 0.000
0.000 0.000 0.500
0.500 0.500 0.500
```

Computed properties:
ΔE_f, eV/atom: 1.7923
Space-group type: No. 123



# 6
Material: NaCu2BSe4
Method: DFT, PBE
State: optimized geometry

Geometry as POSCAR:
```
NaCu2BSe4
1.0
-3.098 3.098 4.181
3.098 -3.098 4.181
3.098 3.098 -4.181
Na Cu B Se
1 2 1 4
direct
0.000 0.000 0.000
0.250 0.750 0.500
0.750 0.250 0.500
0.500 0.500 0.000
0.169 0.562 0.000
0.438 0.438 0.608
0.562 0.169 0.000
0.831 0.831 0.392
```

Computed properties:
Space-group type: No. 121
Formation energy (no corrections), eV/f.u.: -2.39



# 7
Material: NaCuB2Se4
Method: DFT, PBE
State: optimized geometry

Geometry as POSCAR:
```
NaCuB2Se4
1.0
-2.181 3.864 6.546
2.181 -3.864 6.546
2.181 3.864 -6.546
Na Cu B Se
1 1 2 4
direct
0.000 0.000 0.000
0.500 0.000 0.500
0.307 0.500 0.807
0.693 0.500 0.193
0.172 0.156 0.564
0.408 0.844 0.016
0.592 0.607 0.436
0.828 0.393 0.984
```

Computed properties:
Space-group type: No. 23
Formation energy (no corrections), eV/f.u.: -1.36



# 8
Material: Na2CuBSe
Method: DFT, PBE
State: optimized geometry

Geometry as POSCAR:
```
Na2CuBSe
1.0
5.558 0.000 0.000
0.000 5.558 0.000
0.000 0.000 4.476
Na Cu B Se
2 1 1 1
direct
0.000 0.500 0.000
0.500 0.000 0.000
0.000 0.000 0.500
0.500 0.500 0.500
0.000 0.000 0.000
```

Computed properties:
Space-group type: No. 123
Formation energy (no corrections), eV/f.u.: 3.45



# 9
Material: NaCuSi2B
Method: DFT, PBE
State: optimized geometry

Geometry as POSCAR:
```
NaCuSi2B
1.0
4.738 0.000 0.000
0.000 4.738 0.000
0.000 0.000 3.885
Na Cu Si B
1 1 2 1
direct
0.000 0.000 0.000
0.500 0.500 0.500
0.000 0.500 0.500
0.500 0.000 0.500
0.500 0.500 0.000
```

Computed properties:
Space-group type: No. 123
Formation energy (no corrections), eV/f.u.: 4.40



# 10
Material: NaCu2SnB
Method: DFT, PBE
State: optimized geometry

Geometry as POSCAR:
```
NaCu2SnB
1.0
4.181 0.000 0.000
0.000 4.181 0.000
0.000 0.000 4.824
Na Cu Sn B
1 2 1 1
direct
0.000 0.000 0.000
0.000 0.500 0.500
0.500 0.000 0.500
0.500 0.500 0.000
0.500 0.500 0.500
```

Computed properties:
ΔE_f, eV/atom: 0.3402
Space-group type: No. 123



# 11
Material: Na2YCuB
Method: DFT, PBE
State: optimized geometry

Geometry as POSCAR:
```
Na2YCuB
1.0
6.297 0.000 0.000
0.000 6.297 0.000
0.000 0.000 4.350
Na Y Cu B
2 1 1 1
direct
0.000 0.500 0.000
0.500 0.000 0.000
0.000 0.000 0.000
0.500 0.500 0.500
0.000 0.000 0.500
```

Computed properties:
ΔE_f, eV/atom: 1.4185
Space-group type: No. 123



# 12
Material: NbCuB3
Method: DFT, PBE
State: optimized geometry

Geometry as POSCAR:
```
NbCuB3
1.0
4.228 0.000 0.000
0.000 4.228 0.000
0.000 0.000 4.228
Nb Cu B
1 1 3
direct
0.000 0.000 0.000
0.500 0.500 0.500
0.000 0.000 0.500
0.000 0.500 0.000
0.500 0.000 0.000
```

Computed properties:
ΔE to the lowest computed polymorph, eV/f.u.: 2.26
ΔE_f, eV/atom: 1.6949
Space-group type: No. 221



# 13
Material: Nb2CuB2
Method: DFT, PBE
State: optimized geometry

Geometry as POSCAR:
```
Nb2CuB2
1.0
-1.952 1.952 4.441
1.952 -1.952 4.441
1.952 1.952 -4.441
Nb Cu B
2 1 2
direct
0.250 0.750 0.500
0.750 0.250 0.500
0.000 0.000 0.000
0.409 0.409 0.000
0.591 0.591 0.000
```

Computed properties:
ΔE to the lowest computed polymorph, eV/f.u.: 4.32
ΔE_f, eV/atom: 0.3793
Space-group type: No. 139



# 14
Material: NbCu2B
Method: DFT, PBE
State: optimized geometry

Geometry as POSCAR:
```
NbCu2B
1.0
-1.660 1.660 9.409
1.660 -1.660 9.409
1.660 1.660 -9.409
Nb Cu B
2 4 2
direct
0.000 0.000 0.000
0.750 0.250 0.500
0.136 0.625 0.011
0.375 0.386 0.511
0.614 0.125 0.989
0.875 0.864 0.489
0.250 0.750 0.500
0.500 0.500 0.000
```

Computed properties:
ΔE_f, eV/atom: 0.2874
Space-group type: No. 122



# 15
Material: NbCuB3
Method: DFT, PBE
State: optimized geometry

Geometry as POSCAR:
```
NbCuB3
1.0
3.791 0.000 0.000
0.000 3.791 0.000
0.000 0.000 3.791
Nb Cu B
1 1 3
direct
0.000 0.000 0.000
0.500 0.500 0.500
0.000 0.500 0.500
0.500 0.000 0.500
0.500 0.500 0.000
```

Computed properties:
ΔE to the lowest computed polymorph, eV/f.u.: 0.00
ΔE_f, eV/atom: 1.2429
Space-group type: No. 221



# 16
Material: NbCuB2
Method: DFT, PBE
State: optimized geometry

Geometry as POSCAR:
```
NbCuB2
1.0
-1.844 1.844 6.804
1.844 -1.844 6.804
1.844 1.844 -6.804
Nb Cu B
2 2 4
direct
0.000 0.000 0.000
0.750 0.250 0.500
0.250 0.750 0.500
0.500 0.500 0.000
0.374 0.625 0.249
0.375 0.624 0.749
0.376 0.125 0.751
0.875 0.626 0.251
```

Computed properties:
ΔE_f, eV/atom: 0.4021
Space-group type: No. 122



# 17
Material: NbCuB2
Method: DFT, PBE
State: optimized geometry

Geometry as POSCAR:
```
NbCuB2
1.0
0.000 2.764 2.764
2.764 0.000 2.764
2.764 2.764 0.000
Nb Cu B
1 1 2
direct
0.000 0.000 0.000
0.500 0.500 0.500
0.250 0.250 0.250
0.750 0.750 0.750
```

Computed properties:
ΔE_f, eV/atom: 0.4949
Space-group type: No. 225



# 18
Material: NbCu4B2
Method: DFT, PBE
State: optimized geometry

Geometry as POSCAR:
```
NbCu4B2
1.0
-2.342 2.342 5.284
2.342 -2.342 5.284
2.342 2.342 -5.284
Nb Cu B
1 4 2
direct
0.000 0.000 0.000
0.000 0.500 0.500
0.243 0.243 0.000
0.500 0.000 0.500
0.757 0.757 0.000
0.426 0.426 0.000
0.574 0.574 0.000
```

Computed properties:
ΔE_f, eV/atom: 1.3432
Space-group type: No. 139



# 19
Material: Nb2CuB2
Method: DFT, PBE
State: optimized geometry

Geometry as POSCAR:
```
Nb2CuB2
1.0
5.915 0.000 0.000
0.000 5.915 0.000
0.000 0.000 3.329
Nb Cu B
4 2 4
direct
0.182 0.318 0.000
0.318 0.818 0.000
0.682 0.182 0.000
0.818 0.682 0.000
0.000 0.000 0.500
0.500 0.500 0.500
0.105 0.605 0.500
0.395 0.105 0.500
0.605 0.895 0.500
0.895 0.395 0.500
```

Computed properties:
ΔE to the lowest computed polymorph, eV/f.u.: 0.00
ΔE_f, eV/atom: -0.4842
Space-group type: No. 127



# 20
Material: NbCuNiB2
Method: DFT, PBE
State: optimized geometry

Geometry as POSCAR:
```
NbCuNiB2
1.0
3.758 0.000 0.000
0.000 3.758 0.000
0.000 0.000 4.238
Nb Cu Ni B
1 1 1 2
direct
0.000 0.000 0.000
0.500 0.500 0.000
0.500 0.500 0.500
0.000 0.500 0.500
0.500 0.000 0.500
```

Computed properties:
ΔE_f, eV/atom: 0.7141
Space-group type: No. 123



# 21
Material: NbCu2BW
Method: DFT, PBE
State: optimized geometry

Geometry as POSCAR:
```
NbCu2BW
1.0
4.674 0.000 0.000
0.000 4.674 0.000
0.000 0.000 4.763
Nb Cu B W
1 2 1 1
direct
0.000 0.000 0.000
0.000 0.500 0.500
0.500 0.000 0.500
0.500 0.500 0.000
0.000 0.000 0.500
```

Computed properties:
ΔE_f, eV/atom: 2.2153
Space-group type: No. 123



# 22
Material: NbZnCuB2
Method: DFT, PBE
State: optimized geometry

Geometry as POSCAR:
```
NbZnCuB2
1.0
3.933 0.000 0.000
0.000 3.933 0.000
0.000 0.000 4.237
Nb Zn Cu B
1 1 1 2
direct
0.000 0.000 0.000
0.500 0.500 0.500
0.500 0.500 0.000
0.000 0.500 0.500
0.500 0.000 0.500
```

Computed properties:
ΔE_f, eV/atom: 1.3504
Space-group type: No. 123



# 23
Material: NdCuB
Method: DFT, PBE
State: optimized geometry

Geometry as POSCAR:
```
NdCuB
1.0
1.848 -8.658 0.000
1.848 8.658 0.000
0.000 0.000 3.164
Nd Cu B
2 2 2
direct
0.103 0.897 0.750
0.897 0.103 0.250
0.275 0.725 0.750
0.725 0.275 0.250
0.486 0.514 0.750
0.514 0.486 0.250
```

Computed properties:
ΔE_f, eV/atom: -0.2198
Space-group type: No. 63



# 24
Material: Nd2CuNi12B3
Method: DFT, PBE
State: optimized geometry

Geometry as POSCAR:
```
Nd2CuNi12B3
1.0
3.632 2.097 5.286
-3.632 2.097 5.286
0.000 -4.194 5.286
Nd Cu Ni B
2 1 12 3
direct
0.101 0.101 0.101
0.899 0.899 0.899
0.500 0.500 0.500
0.100 0.630 0.630
0.223 0.223 0.614
0.223 0.614 0.223
0.370 0.370 0.900
0.370 0.900 0.370
0.386 0.777 0.777
0.614 0.223 0.223
0.630 0.100 0.630
0.630 0.630 0.100
0.777 0.386 0.777
0.777 0.777 0.386
0.900 0.370 0.370
0.000 0.500 0.500
0.500 0.000 0.500
0.500 0.500 0.000
```

Computed properties:
ΔE_f, eV/atom: 0.0097
Space-group type: No. 166



# 25
Material: NdCu2B2O6
Method: DFT, PBE
State: optimized geometry

Geometry as POSCAR:
```
NdCu2B2O6
1.0
5.179 0.000 0.000
-2.589 4.485 0.000
0.000 0.000 6.279
Nd Cu B O
1 2 2 6
direct
0.000 0.000 0.000
0.333 0.667 0.271
0.667 0.333 0.729
0.333 0.667 0.764
0.667 0.333 0.236
0.067 0.669 0.769
0.331 0.398 0.769
0.398 0.067 0.231
0.602 0.933 0.769
0.669 0.602 0.231
0.933 0.331 0.231
```

Computed properties:
Space-group type: No. 147
Formation energy (no corrections), eV/f.u.: -21.63



# 26
Material: Nd2CuBPd6
Method: DFT, PBE
State: optimized geometry

Geometry as POSCAR:
```
Nd2CuBPd6
1.0
5.731 0.000 0.000
-2.864 4.969 0.000
-0.001 -3.305 6.415
Nd Cu B Pd
2 1 1 6
direct
0.221 0.440 0.157
0.779 0.560 0.843
0.500 0.000 0.000
0.000 0.000 0.500
0.232 0.466 0.692
0.232 0.953 0.690
0.281 0.048 0.312
0.719 0.952 0.688
0.768 0.047 0.310
0.768 0.534 0.308
```

Computed properties:
ΔE_f, eV/atom: -0.5903
Space-group type: No. 2